[1]
DFT (PBEsol) results for a relaxed structure of Ba2CrW.

space-group type: F-43m
crystal system: cubic
ΔE_f: 1472 meV/atom
spin magnetization: 1.457 μB per formula unit
DOS(E_F): 3.9 states/eV per cell
energy: -22.5 eV per cell

a = 5.3571 Å, b = 5.3571 Å, c = 5.3571 Å
α = 60.00°, β = 60.00°, γ = 60.00°
Atoms (fractional coordinates):
Ba  0.0000  0.0000  0.0000
Ba  0.2500  0.2500  0.2500
Cr  0.7500  0.7500  0.7500
W  0.5000  0.5000  0.5000


[2]
DFT (PBEsol) results for a relaxed structure of BaY2Cr.

space-group type: Imm2
crystal system: orthorhombic
ΔE_f: 523 meV/atom
spin magnetization: 3.403 μB per formula unit
DOS(E_F): 3.8 states/eV per cell
energy: -23.9 eV per cell

a = 6.6853 Å, b = 6.6853 Å, c = 6.6853 Å
α = 147.40°, β = 131.65°, γ = 59.53°
Atoms (fractional coordinates):
Ba  0.0000  0.0000  0.0000
Y  0.4143  0.4143  0.0000
Y  0.7083  0.2083  0.5000
Cr  0.2243  0.7243  0.5000


[3]
DFT (PBEsol) results for a relaxed structure of BaYCr4.

space-group type: F-43m
crystal system: cubic
ΔE_f: 878 meV/atom
spin magnetization: 0.003 μB per formula unit
DOS(E_F): 7.4 states/eV per cell
energy: -44.7 eV per cell

a = 5.2084 Å, b = 5.2084 Å, c = 5.2084 Å
α = 60.00°, β = 60.00°, γ = 60.00°
Atoms (fractional coordinates):
Ba  0.0000  0.0000  0.0000
Y  0.2500  0.2500  0.2500
Cr  0.1282  0.6239  0.6239
Cr  0.6239  0.1282  0.6239
Cr  0.6239  0.6239  0.1282
Cr  0.6239  0.6239  0.6239


[4]
DFT (PBEsol) results for a relaxed structure of BaZn2Cr.

space-group type: P4mm
crystal system: tetragonal
ΔE_f: 440 meV/atom
spin magnetization: 3.977 μB per formula unit
DOS(E_F): 3.3 states/eV per cell
energy: -13.8 eV per cell

a = 3.4149 Å, b = 3.4149 Å, c = 7.5276 Å
α = 90.00°, β = 90.00°, γ = 90.00°
Atoms (fractional coordinates):
Ba  0.0000  0.0000  0.0000
Zn  0.0000  0.0000  0.5075
Zn  0.5000  0.5000  0.3158
Cr  0.5000  0.5000  0.6597


[5]
DFT (PBEsol) results for a relaxed structure of BaZn2Cr.

space-group type: R-3m
crystal system: trigonal
ΔE_f: 197 meV/atom
spin magnetization: 3.752 μB per formula unit
DOS(E_F): 2.3 states/eV per cell
energy: -14.8 eV per cell

a = 6.2959 Å, b = 6.2959 Å, c = 6.2959 Å
α = 41.35°, β = 41.35°, γ = 41.35°
Atoms (fractional coordinates):
Ba  0.0000  0.0000  0.0000
Zn  0.1885  0.1885  0.1885
Zn  0.8115  0.8115  0.8115
Cr  0.5000  0.5000  0.5000


[6]
DFT (PBEsol) results for a relaxed structure of BaZrCr3.

space-group type: Pm-3m
crystal system: cubic
ΔE_f: 2352 meV/atom
spin magnetization: 8.093 μB per formula unit
DOS(E_F): 6.4 states/eV per cell
energy: -30.2 eV per cell

a = 4.8234 Å, b = 4.8234 Å, c = 4.8234 Å
α = 90.00°, β = 90.00°, γ = 90.00°
Atoms (fractional coordinates):
Ba  0.0000  0.0000  0.0000
Zr  0.5000  0.5000  0.5000
Cr  0.0000  0.0000  0.5000
Cr  0.0000  0.5000  0.0000
Cr  0.5000  0.0000  0.0000


[7]
DFT (PBEsol) results for a relaxed structure of BaZrCr3.

space-group type: Pm-3m
crystal system: cubic
ΔE_f: 1404 meV/atom
spin magnetization: 9.893 μB per formula unit
DOS(E_F): 3.1 states/eV per cell
energy: -34.9 eV per cell

a = 4.9757 Å, b = 4.9757 Å, c = 4.9757 Å
α = 90.00°, β = 90.00°, γ = 90.00°
Atoms (fractional coordinates):
Ba  0.0000  0.0000  0.0000
Zr  0.5000  0.5000  0.5000
Cr  0.0000  0.5000  0.5000
Cr  0.5000  0.0000  0.5000
Cr  0.5000  0.5000  0.0000


[8]
DFT (PBEsol) results for a relaxed structure of CsBaRhF2.

space-group type: P4/mmm
crystal system: tetragonal
formation energy (no corrections): -407 kJ/mol of formula units
spin magnetization: 0.002 μB per formula unit
DOS(E_F): 2.1 states/eV per cell
energy: -19.3 eV per cell

a = 5.2540 Å, b = 5.2540 Å, c = 4.9032 Å
α = 90.00°, β = 90.00°, γ = 90.00°
Atoms (fractional coordinates):
Cs  0.0000  0.0000  0.0000
Ba  0.5000  0.5000  0.0000
Rh  0.5000  0.5000  0.5000
F  0.0000  0.5000  0.5000
F  0.5000  0.0000  0.5000